# 1
VASP calculation (GGA-PBEsol) on crystalline Cr3HRh at its relaxed geometry.

Cell lengths 3.664, 3.664, 3.664 Å; angles 90.00, 90.00, 90.00 degrees
Positions (direct):
Cr (0.000, 0.000, 0.500)
Cr (0.000, 0.500, 0.000)
Cr (0.500, 0.000, 0.000)
H (0.000, 0.000, 0.000)
Rh (0.500, 0.500, 0.500)

Values from the calculation:
Raw total energy: -8.396 eV/atom
Magnetization: 0.00 μB/cell
SG: Pm-3m

# 2
VASP calculation (GGA-PBEsol) on crystalline CrH2Rh2 at its relaxed geometry.

Cell lengths 6.202, 6.202, 6.202 Å; angles 154.53, 154.53, 36.33 degrees
Positions (direct):
Cr (0.000, 0.000, 0.000)
H (0.250, 0.750, 0.500)
H (0.750, 0.250, 0.500)
Rh (0.357, 0.357, 0.000)
Rh (0.643, 0.643, 0.000)

Values from the calculation:
Raw total energy: -6.641 eV/atom
Magnetization: 0.00 μB/cell
SG: I4/mmm

# 3
VASP calculation (GGA-PBEsol) on crystalline Cr2H2Ru at its relaxed geometry.

Cell lengths 5.960, 5.960, 5.960 Å; angles 153.88, 153.88, 37.28 degrees
Positions (direct):
Cr (0.152, 0.152, 0.000)
Cr (0.848, 0.848, 0.000)
H (0.250, 0.750, 0.500)
H (0.750, 0.250, 0.500)
Ru (0.500, 0.500, 0.000)

Values from the calculation:
Raw total energy: -7.406 eV/atom
Magnetization: 0.60 μB/cell
SG: I4/mmm

# 4
VASP calculation (GGA-PBEsol) on crystalline CrHRu2 at its relaxed geometry.

Cell lengths 3.949, 3.949, 3.949 Å; angles 60.00, 60.00, 60.00 degrees
Positions (direct):
Cr (0.000, 0.000, 0.000)
H (0.500, 0.500, 0.500)
Ru (0.250, 0.250, 0.250)
Ru (0.750, 0.750, 0.750)

Values from the calculation:
Raw total energy: -7.970 eV/atom
Magnetization: 0.00 μB/cell
SG: Fm-3m